No. 1
First-principles (GGA-PBE) data for a geometry-optimized LiCePbAu structure, as listed in Alexandria.

Properties
Theoretical density, g/cm³: 9.53
Energy of formation from the pure elements, kcal/mol of atoms: -10.72
Spin magnetization, μB/f.u.: 0.66

```
data_LiCePbAu
_chemical_formula_sum 'Li4 Ce4 Pb4 Au4'
_symmetry_space_group_name_H-M 'F -4 3 m'
_symmetry_Int_Tables_number 216
_symmetry_space_group_name_Hall 'F -4 2 3'
_cell_length_a 7.271
_cell_length_b 7.271
_cell_length_c 7.271
_cell_angle_alpha 90.00
_cell_angle_beta 90.00
_cell_angle_gamma 90.00
loop_
_atom_site_label
_atom_site_fract_x
_atom_site_fract_y
_atom_site_fract_z
Li1 0.000 0.000 0.000
Ce1 0.000 0.000 0.500
Pb1 0.250 0.250 0.250
Au1 0.250 0.250 0.750
```

=====

No. 2
First-principles (GGA-PBE) data for a geometry-optimized LiCe2PbAu4 structure, as listed in Alexandria.

Properties
Theoretical density, g/cm³: 11.69
Energy of formation from the pure elements, kcal/mol of atoms: -13.68
Spin magnetization, μB/f.u.: 1.51

```
data_LiCe2PbAu4
_chemical_formula_sum 'Li3 Ce6 Pb3 Au12'
_symmetry_space_group_name_H-M 'R -3 m'
_symmetry_Int_Tables_number 166
_symmetry_space_group_name_Hall '-R 3 2"'
_cell_length_a 5.0451
_cell_length_b 5.0451
_cell_length_c 24.7964
_cell_angle_alpha 90.00
_cell_angle_beta 90.00
_cell_angle_gamma 120.00
loop_
_atom_site_label
_atom_site_fract_x
_atom_site_fract_y
_atom_site_fract_z
Li1 0.0000 0.0000 0.0000
Ce1 0.0000 0.0000 0.2450
Pb1 0.0000 0.0000 0.5000
Au1 0.0000 0.0000 0.1134
Au2 0.0000 0.0000 0.3669
```

=====

No. 3
First-principles (GGA-PBE) data for a geometry-optimized LiCePdAu structure, as listed in Alexandria.

Properties
Theoretical density, g/cm³: 9.04
Energy of formation from the pure elements, kcal/mol of atoms: -12.32
Spin magnetization, μB/f.u.: 0.85

```
data_LiCePdAu
_chemical_formula_sum 'Li4 Ce4 Pd4 Au4'
_symmetry_space_group_name_H-M 'F -4 3 m'
_symmetry_Int_Tables_number 216
_symmetry_space_group_name_Hall 'F -4 2 3'
_cell_length_a 6.917
_cell_length_b 6.917
_cell_length_c 6.917
_cell_angle_alpha 90.00
_cell_angle_beta 90.00
_cell_angle_gamma 90.00
loop_
_atom_site_label
_atom_site_fract_x
_atom_site_fract_y
_atom_site_fract_z
Li1 0.000 0.000 0.000
Ce1 0.000 0.000 0.500
Pd1 0.250 0.250 0.750
Au1 0.250 0.250 0.250
```